1.
Dy2Sc2Cd after structural relaxation. Source: the Alexandria database, functional PBE.

a = 6.363 Å, b = 6.363 Å, c = 9.053 Å
α = 107.13°, β = 107.13°, γ = 49.98°
Fractional coordinates of all 10 atoms:
Dy (0.075, 0.075, 0.357)
Dy (0.253, 0.253, 0.755)
Dy (0.747, 0.747, 0.245)
Dy (0.925, 0.925, 0.643)
Sc (0.139, 0.139, 0.030)
Sc (0.440, 0.440, 0.149)
Sc (0.560, 0.560, 0.851)
Sc (0.861, 0.861, 0.970)
Cd (0.367, 0.367, 0.444)
Cd (0.633, 0.633, 0.556)

Properties
- ρ (g/cm3) = 6.6
- E_form (eV/atom) = -0.056
- total energy (eV/cell) = -46.12
- SG = C2/m
- volume (A^3/atom) = 26.55


2.
Dy3ScCd7 after structural relaxation. Source: the Alexandria database, functional PBE.

a = 10.979 Å, b = 10.979 Å, c = 15.330 Å
α = 90.00°, β = 90.00°, γ = 162.51°
Fractional coordinates of all 22 atoms:
Dy (0.118, 0.882, 0.536)
Dy (0.118, 0.882, 0.964)
Dy (0.248, 0.752, 0.250)
Dy (0.752, 0.248, 0.750)
Dy (0.882, 0.118, 0.036)
Dy (0.882, 0.118, 0.464)
Sc (0.022, 0.978, 0.250)
Sc (0.978, 0.022, 0.750)
Cd (0.261, 0.739, 0.575)
Cd (0.261, 0.739, 0.925)
Cd (0.374, 0.626, 0.657)
Cd (0.374, 0.626, 0.843)
Cd (0.398, 0.602, 0.250)
Cd (0.496, 0.504, 0.590)
Cd (0.496, 0.504, 0.910)
Cd (0.504, 0.496, 0.090)
Cd (0.504, 0.496, 0.410)
Cd (0.602, 0.398, 0.750)
Cd (0.626, 0.374, 0.157)
Cd (0.626, 0.374, 0.343)
Cd (0.739, 0.261, 0.075)
Cd (0.739, 0.261, 0.425)

Properties
- ρ (g/cm3) = 7.9
- E_form (eV/atom) = -0.151
- total energy (eV/cell) = -56.42
- SG = Cmcm
- volume (A^3/atom) = 25.24


3.
DyScCd5 after structural relaxation. Source: the Alexandria database, functional PBE.

a = 4.995 Å, b = 4.995 Å, c = 6.890 Å
α = 90.00°, β = 90.00°, γ = 90.00°
Fractional coordinates of all 7 atoms:
Dy (0.000, 0.000, 0.000)
Sc (0.500, 0.500, 0.500)
Cd (0.000, 0.500, 0.278)
Cd (0.000, 0.500, 0.722)
Cd (0.500, 0.000, 0.278)
Cd (0.500, 0.000, 0.722)
Cd (0.500, 0.500, 0.000)

Properties
- ρ (g/cm3) = 7.4
- E_form (eV/atom) = -0.086
- total energy (eV/cell) = -16.11
- SG = P4/mmm
- volume (A^3/atom) = 24.56


4.
Dy2Sc3Cd3 after structural relaxation. Source: the Alexandria database, functional PBE.

a = 11.083 Å, b = 11.083 Å, c = 11.083 Å
α = 161.16°, β = 153.52°, γ = 32.70°
Fractional coordinates of all 8 atoms:
Dy (0.233, 0.233, 0.000)
Dy (0.767, 0.767, 0.000)
Sc (0.000, 0.000, 0.000)
Sc (0.378, 0.878, 0.500)
Sc (0.622, 0.122, 0.500)
Cd (0.112, 0.612, 0.500)
Cd (0.500, 0.500, 0.000)
Cd (0.888, 0.388, 0.500)

Properties
- ρ (g/cm3) = 6.8
- E_form (eV/atom) = -0.188
- total energy (eV/cell) = -32.45
- SG = Immm
- volume (A^3/atom) = 24.49


5.
Dy2Sc6Cd after structural relaxation. Source: the Alexandria database, functional PBE.

a = 8.866 Å, b = 8.866 Å, c = 8.866 Å
α = 158.22°, β = 114.08°, γ = 70.33°
Fractional coordinates of all 9 atoms:
Dy (0.138, 0.138, 0.000)
Dy (0.862, 0.862, 0.000)
Sc (0.157, 0.818, 0.339)
Sc (0.230, 0.500, 0.730)
Sc (0.478, 0.818, 0.661)
Sc (0.522, 0.182, 0.339)
Sc (0.770, 0.500, 0.270)
Sc (0.843, 0.182, 0.661)
Cd (0.500, 0.000, 0.500)

Properties
- ρ (g/cm3) = 5.0
- E_form (eV/atom) = 0.042
- total energy (eV/cell) = -47.73
- SG = Immm
- volume (A^3/atom) = 26.03


6.
DySc2Cd6 after structural relaxation. Source: the Alexandria database, functional PBE.

a = 8.500 Å, b = 8.500 Å, c = 3.287 Å
α = 90.00°, β = 90.00°, γ = 120.00°
Fractional coordinates of all 9 atoms:
Dy (0.000, 0.000, 0.000)
Sc (0.333, 0.667, 0.000)
Sc (0.667, 0.333, 0.000)
Cd (0.000, 0.337, 0.500)
Cd (0.000, 0.663, 0.500)
Cd (0.337, 0.000, 0.500)
Cd (0.337, 0.337, 0.500)
Cd (0.663, 0.000, 0.500)
Cd (0.663, 0.663, 0.500)

Properties
- ρ (g/cm3) = 7.5
- E_form (eV/atom) = -0.254
- total energy (eV/cell) = -25.04
- SG = P6/mmm
- volume (A^3/atom) = 22.85


7.
DyScCd after structural relaxation. Source: the Alexandria database, functional PBE.

a = 3.377 Å, b = 3.377 Å, c = 13.552 Å
α = 90.00°, β = 90.00°, γ = 90.00°
Fractional coordinates of all 6 atoms:
Dy (0.250, 0.250, 0.239)
Dy (0.750, 0.750, 0.761)
Sc (0.250, 0.250, 0.582)
Sc (0.750, 0.750, 0.418)
Cd (0.250, 0.250, 0.927)
Cd (0.750, 0.750, 0.073)

Properties
- ρ (g/cm3) = 6.9
- E_form (eV/atom) = -0.093
- total energy (eV/cell) = -24.25
- SG = P4/nmm
- volume (A^3/atom) = 25.76
- distance to the lowest polymorph of the same formula (eV per atom) = 0.082


8.
DySc2Cd after structural relaxation. Source: the Alexandria database, functional PBE.

a = 6.204 Å, b = 6.204 Å, c = 7.433 Å
α = 90.00°, β = 90.00°, γ = 133.38°
Fractional coordinates of all 8 atoms:
Dy (0.067, 0.933, 0.750)
Dy (0.933, 0.067, 0.250)
Sc (0.362, 0.638, 0.539)
Sc (0.362, 0.638, 0.961)
Sc (0.638, 0.362, 0.039)
Sc (0.638, 0.362, 0.461)
Cd (0.202, 0.798, 0.250)
Cd (0.798, 0.202, 0.750)

Properties
- ρ (g/cm3) = 5.8
- E_form (eV/atom) = -0.041
- total energy (eV/cell) = -36.69
- SG = Cmcm
- volume (A^3/atom) = 25.99
- distance to the lowest polymorph of the same formula (eV per atom) = 0.086


9.
DySc3Cd6 after structural relaxation. Source: the Alexandria database, functional PBE.

a = 8.809 Å, b = 5.019 Å, c = 10.698 Å
α = 90.00°, β = 106.02°, γ = 90.00°
Fractional coordinates of all 20 atoms:
Dy (0.057, 0.250, 0.392)
Dy (0.943, 0.750, 0.608)
Sc (0.245, 0.250, 0.002)
Sc (0.352, 0.750, 0.804)
Sc (0.466, 0.250, 0.606)
Sc (0.534, 0.750, 0.394)
Sc (0.648, 0.250, 0.196)
Sc (0.755, 0.750, 0.998)
Cd (0.059, 0.750, 0.908)
Cd (0.148, 0.750, 0.202)
Cd (0.167, 0.250, 0.703)
Cd (0.259, 0.750, 0.511)
Cd (0.360, 0.250, 0.296)
Cd (0.454, 0.750, 0.098)
Cd (0.546, 0.250, 0.902)
Cd (0.640, 0.750, 0.704)
Cd (0.741, 0.250, 0.489)
Cd (0.833, 0.750, 0.297)
Cd (0.852, 0.250, 0.798)
Cd (0.941, 0.250, 0.092)

Properties
- ρ (g/cm3) = 7.1
- E_form (eV/atom) = -0.257
- total energy (eV/cell) = -63.31
- SG = P2_1/m
- volume (A^3/atom) = 22.73


10.
Dy4ScCd5 after structural relaxation. Source: the Alexandria database, functional PBE.

a = 3.693 Å, b = 3.693 Å, c = 18.622 Å
α = 90.00°, β = 90.00°, γ = 90.00°
Fractional coordinates of all 10 atoms:
Dy (0.000, 0.000, 0.102)
Dy (0.000, 0.000, 0.307)
Dy (0.000, 0.000, 0.693)
Dy (0.000, 0.000, 0.898)
Sc (0.000, 0.000, 0.500)
Cd (0.500, 0.500, 0.000)
Cd (0.500, 0.500, 0.205)
Cd (0.500, 0.500, 0.411)
Cd (0.500, 0.500, 0.589)
Cd (0.500, 0.500, 0.795)

Properties
- ρ (g/cm3) = 8.2
- E_form (eV/atom) = -0.308
- total energy (eV/cell) = -32.40
- SG = P4/mmm
- volume (A^3/atom) = 25.40


11.
Dy7Sc2Cd2 after structural relaxation. Source: the Alexandria database, functional PBE.

a = 6.361 Å, b = 6.361 Å, c = 8.352 Å
α = 103.27°, β = 103.27°, γ = 96.48°
Fractional coordinates of all 11 atoms:
Dy (0.000, 0.000, 0.000)
Dy (0.122, 0.481, 0.821)
Dy (0.140, 0.140, 0.420)
Dy (0.481, 0.122, 0.821)
Dy (0.519, 0.878, 0.179)
Dy (0.860, 0.860, 0.580)
Dy (0.878, 0.519, 0.179)
Sc (0.321, 0.679, 0.500)
Sc (0.679, 0.321, 0.500)
Cd (0.384, 0.384, 0.184)
Cd (0.616, 0.616, 0.816)

Properties
- ρ (g/cm3) = 7.6
- E_form (eV/atom) = -0.042
- total energy (eV/cell) = -47.17
- SG = C2/m
- volume (A^3/atom) = 28.66


12.
DyScCd after structural relaxation. Source: the Alexandria database, functional PBE.

a = 5.098 Å, b = 5.098 Å, c = 3.455 Å
α = 90.00°, β = 90.00°, γ = 120.00°
Fractional coordinates of all 3 atoms:
Dy (0.000, 0.000, 0.000)
Sc (0.667, 0.333, 0.541)
Cd (0.333, 0.667, 0.402)

Properties
- ρ (g/cm3) = 6.8
- E_form (eV/atom) = -0.078
- total energy (eV/cell) = -12.08
- SG = P3m1
- volume (A^3/atom) = 25.93
- distance to the lowest polymorph of the same formula (eV per atom) = 0.096


13.
DyScCdSn after structural relaxation. Source: the Alexandria database, functional PBE.

a = 5.154 Å, b = 5.154 Å, c = 5.154 Å
α = 60.00°, β = 60.00°, γ = 60.00°
Fractional coordinates of all 4 atoms:
Dy (0.000, 0.000, 0.000)
Sc (0.500, 0.500, 0.500)
Cd (0.750, 0.750, 0.750)
Sn (0.250, 0.250, 0.250)

Properties
- ρ (g/cm3) = 7.5
- E_form (eV/atom) = -0.455
- total energy (eV/cell) = -17.67
- SG = F-43m
- volume (A^3/atom) = 24.20


14.
DyScCdTc after structural relaxation. Source: the Alexandria database, functional PBE.

a = 4.906 Å, b = 4.906 Å, c = 4.906 Å
α = 60.00°, β = 60.00°, γ = 60.00°
Fractional coordinates of all 4 atoms:
Dy (0.000, 0.000, 0.000)
Sc (0.500, 0.500, 0.500)
Cd (0.750, 0.750, 0.750)
Tc (0.250, 0.250, 0.250)

Properties
- ρ (g/cm3) = 8.3
- E_form (eV/atom) = -0.127
- total energy (eV/cell) = -22.72
- SG = F-43m
- volume (A^3/atom) = 20.88


15.
DyScTiCd after structural relaxation. Source: the Alexandria database, functional PBE.

a = 5.095 Å, b = 5.095 Å, c = 5.095 Å
α = 60.00°, β = 60.00°, γ = 60.00°
Fractional coordinates of all 4 atoms:
Dy (0.000, 0.000, 0.000)
Sc (0.500, 0.500, 0.500)
Ti (0.250, 0.250, 0.250)
Cd (0.750, 0.750, 0.750)

Properties
- ρ (g/cm3) = 6.5
- E_form (eV/atom) = 0.037
- total energy (eV/cell) = -19.60
- SG = F-43m
- volume (A^3/atom) = 23.38


16.
DyZrScCd after structural relaxation. Source: the Alexandria database, functional PBE.

a = 5.184 Å, b = 5.184 Å, c = 5.184 Å
α = 60.00°, β = 60.00°, γ = 60.00°
Fractional coordinates of all 4 atoms:
Dy (0.000, 0.000, 0.000)
Zr (0.750, 0.750, 0.750)
Sc (0.500, 0.500, 0.500)
Cd (0.250, 0.250, 0.250)

Properties
- ρ (g/cm3) = 6.9
- E_form (eV/atom) = 0.042
- total energy (eV/cell) = -20.23
- SG = F-43m
- volume (A^3/atom) = 24.62


17.
Dy2CdSe4 after structural relaxation. Source: the Alexandria database, functional PBE.

a = 8.346 Å, b = 8.346 Å, c = 8.346 Å
α = 60.00°, β = 60.00°, γ = 60.00°
Fractional coordinates of all 14 atoms:
Dy (0.000, 0.000, 0.000)
Dy (0.000, 0.000, 0.500)
Dy (0.000, 0.500, 0.000)
Dy (0.500, 0.000, 0.000)
Cd (0.375, 0.375, 0.375)
Cd (0.625, 0.625, 0.625)
Se (0.229, 0.757, 0.757)
Se (0.243, 0.243, 0.243)
Se (0.243, 0.243, 0.771)
Se (0.243, 0.771, 0.243)
Se (0.757, 0.229, 0.757)
Se (0.757, 0.757, 0.229)
Se (0.757, 0.757, 0.757)
Se (0.771, 0.243, 0.243)

Properties
- ρ (g/cm3) = 6.1
- total energy (eV/cell) = -69.36
- SG = Fd-3m
- volume (A^3/atom) = 29.36


18.
Dy2CdSe after structural relaxation. Source: the Alexandria database, functional PBE.

a = 8.747 Å, b = 8.747 Å, c = 8.747 Å
α = 25.14°, β = 25.14°, γ = 25.14°
Fractional coordinates of all 4 atoms:
Dy (0.000, 0.000, 0.000)
Dy (0.152, 0.152, 0.152)
Cd (0.575, 0.575, 0.575)
Se (0.743, 0.743, 0.743)

Properties
- ρ (g/cm3) = 8.1
- total energy (eV/cell) = -17.19
- SG = R3m
- volume (A^3/atom) = 26.57
- distance to the lowest polymorph of the same formula (eV per atom) = 0.110


19.
Dy5CdSe4 after structural relaxation. Source: the Alexandria database, functional PBE.

a = 7.153 Å, b = 7.153 Å, c = 7.153 Å
α = 99.61°, β = 99.61°, γ = 131.78°
Fractional coordinates of all 10 atoms:
Dy (0.000, 0.000, 0.000)
Dy (0.195, 0.602, 0.796)
Dy (0.398, 0.195, 0.593)
Dy (0.602, 0.805, 0.407)
Dy (0.805, 0.398, 0.204)
Cd (0.500, 0.500, 0.000)
Se (0.100, 0.302, 0.402)
Se (0.302, 0.900, 0.202)
Se (0.698, 0.100, 0.798)
Se (0.900, 0.698, 0.598)

Properties
- ρ (g/cm3) = 8.3
- total energy (eV/cell) = -52.29
- SG = I4/m
- volume (A^3/atom) = 24.91


20.
DyCdSe after structural relaxation. Source: the Alexandria database, functional PBE.

a = 8.352 Å, b = 8.352 Å, c = 8.352 Å
α = 33.53°, β = 33.53°, γ = 33.53°
Fractional coordinates of all 6 atoms:
Dy (0.085, 0.085, 0.085)
Dy (0.915, 0.915, 0.915)
Cd (0.336, 0.336, 0.336)
Cd (0.664, 0.664, 0.664)
Se (0.213, 0.213, 0.213)
Se (0.787, 0.787, 0.787)

Properties
- ρ (g/cm3) = 7.4
- total energy (eV/cell) = -24.07
- SG = R-3m
- volume (A^3/atom) = 26.38


21.
Dy6CdSe5 after structural relaxation. Source: the Alexandria database, functional PBE.

a = 7.138 Å, b = 7.138 Å, c = 7.118 Å
α = 99.59°, β = 99.59°, γ = 119.84°
Fractional coordinates of all 12 atoms:
Dy (0.078, 0.416, 0.748)
Dy (0.246, 0.246, 0.251)
Dy (0.416, 0.078, 0.748)
Dy (0.584, 0.922, 0.252)
Dy (0.754, 0.754, 0.749)
Dy (0.922, 0.584, 0.252)
Cd (0.500, 0.500, 0.000)
Se (0.000, 0.000, 0.500)
Se (0.166, 0.834, 0.000)
Se (0.333, 0.667, 0.500)
Se (0.667, 0.333, 0.500)
Se (0.834, 0.166, 0.000)

Properties
- ρ (g/cm3) = 8.3
- total energy (eV/cell) = -63.82
- SG = C2/m
- volume (A^3/atom) = 24.73


22.
Dy2CdSe after structural relaxation. Source: the Alexandria database, functional PBE.

a = 10.092 Å, b = 10.092 Å, c = 10.092 Å
α = 21.59°, β = 21.59°, γ = 21.59°
Fractional coordinates of all 4 atoms:
Dy (0.107, 0.107, 0.107)
Dy (0.893, 0.893, 0.893)
Cd (0.000, 0.000, 0.000)
Se (0.500, 0.500, 0.500)

Properties
- ρ (g/cm3) = 7.0
- total energy (eV/cell) = -15.94
- SG = R-3m
- volume (A^3/atom) = 30.50
- distance to the lowest polymorph of the same formula (eV per atom) = 0.423


23.
Dy2CdSe after structural relaxation. Source: the Alexandria database, functional PBE.

a = 11.859 Å, b = 11.859 Å, c = 4.385 Å
α = 90.00°, β = 90.00°, γ = 160.56°
Fractional coordinates of all 8 atoms:
Dy (0.074, 0.926, 0.750)
Dy (0.317, 0.683, 0.750)
Dy (0.683, 0.317, 0.250)
Dy (0.926, 0.074, 0.250)
Cd (0.458, 0.542, 0.750)
Cd (0.542, 0.458, 0.250)
Se (0.195, 0.805, 0.750)
Se (0.805, 0.195, 0.250)

Properties
- ρ (g/cm3) = 8.4
- total energy (eV/cell) = -35.26
- SG = Cmcm
- volume (A^3/atom) = 25.65
- distance to the lowest polymorph of the same formula (eV per atom) = 0.000


24.
Dy2Tl3CdSe6 after structural relaxation. Source: the Alexandria database, functional PBE.

a = 7.259 Å, b = 7.259 Å, c = 7.884 Å
α = 98.84°, β = 98.84°, γ = 120.09°
Fractional coordinates of all 12 atoms:
Dy (0.167, 0.833, 0.000)
Dy (0.833, 0.167, 0.000)
Tl (0.000, 0.000, 0.500)
Tl (0.332, 0.668, 0.500)
Tl (0.668, 0.332, 0.500)
Cd (0.500, 0.500, 0.000)
Se (0.093, 0.430, 0.789)
Se (0.235, 0.235, 0.211)
Se (0.430, 0.093, 0.789)
Se (0.570, 0.907, 0.211)
Se (0.765, 0.765, 0.789)
Se (0.907, 0.570, 0.211)

Properties
- ρ (g/cm3) = 7.4
- total energy (eV/cell) = -50.34
- SG = C2/m
- volume (A^3/atom) = 28.50